Below is an optimized crystal structure of MnAl2Cu, with properties calculated at the GGA-PBEsol level. Values from VASP.

- Final energy: -5.734 eV per atom
- ΔH_f (0 K): -0.66 eV per formula unit
- Magnetization: 2.0 μB/f.u.
- SG: Imm2, No. 44

```
&SYSTEM
  ibrav = 0, nat = 4, ntyp = 3
/
ATOMIC_SPECIES
Mn 54.94 Mn.upf
Al 26.98 Al.upf
Cu 63.55 Cu.upf
ATOMIC_POSITIONS crystal
Mn 0.0000 0.0000 0.0000
Al 0.2500 0.7500 0.5000
Al 0.5007 0.5007 0.0000
Cu 0.7502 0.2502 0.5000
CELL_PARAMETERS angstrom
-1.7790 1.7934 4.0247
1.7790 -1.7934 4.0247
1.7790 1.7934 -4.0247
```